[1]
First-principles (PBE) data for LiErGe2Ru after structural relaxation, as listed in Alexandria.

```
5
Lattice="4.043 0.000 0.000 0.000 4.043 0.000 -2.022 -2.022 5.353" Properties=species:S:1:pos:R:3 pbc="T T T"
Ge 2.022 2.022 1.266
Ge 0.000 0.000 4.088
Ru 0.000 2.022 2.677
Li 2.022 0.000 2.677
Er 0.000 0.000 0.000
```

Computed properties:
* calculated formation energy: -0.523 eV/atom
* VASP energy: -0.203 Ha/atom
* D(E_F): 2.3 states/eV per cell

[2]
First-principles (PBE) data for Y3Zn9Ru2 after structural relaxation, as listed in Alexandria.

```
14
Lattice="4.331 0.000 0.000 2.165 7.773 0.327 2.165 2.081 7.497" Properties=species:S:1:pos:R:3 pbc="T T T"
Ru 4.331 3.896 5.210
Zn 6.496 7.425 3.296
Zn 2.165 0.783 2.255
Zn 2.165 2.374 0.251
Zn 6.496 9.071 5.569
Zn 6.496 4.893 6.485
Zn 2.165 4.927 3.912
Y 4.331 3.039 2.413
Y 0.000 0.000 0.000
Y 4.331 6.814 5.411
Zn 2.165 4.961 1.339
Zn 2.165 2.428 4.528
Ru 4.331 5.957 2.614
Zn 6.496 7.480 7.573
```

Computed properties:
* calculated formation energy: -0.313 eV/atom
* VASP energy: -0.141 Ha/atom
* D(E_F): 10.3 states/eV per cell

[3]
First-principles (PBE) data for MnMo2Au after structural relaxation, as listed in Alexandria.

```
8
Lattice="3.722 0.000 0.000 0.000 3.722 0.000 1.861 1.861 9.850" Properties=species:S:1:pos:R:3 pbc="T T T"
Mo 0.986 2.791 2.463
Mo 2.736 0.930 2.463
Mn 1.861 1.861 0.000
Mo 2.791 2.847 7.388
Au 0.000 0.000 0.000
Mn 1.861 3.722 4.925
Au 3.722 1.861 4.925
Mo 4.652 4.597 7.388
```

Computed properties:
* calculated formation energy: 0.602 eV/atom
* excess energy over the best structure of this formula in the dataset: 0.4358 eV/atom
* VASP energy: -0.291 Ha/atom
* D(E_F): 8.0 states/eV per cell

[4]
First-principles (PBE) data for TaSbRh2 after structural relaxation, as listed in Alexandria.

```
4
Lattice="-2.692 -4.598 -0.084 -1.276 -2.109 4.725 -0.532 4.311 -3.087" Properties=species:S:1:pos:R:3 pbc="T T T"
Rh -1.978 -0.715 2.075
Sb -1.949 -3.295 2.279
Rh -3.946 -6.670 4.615
Ta -2.578 -1.777 -0.456
```

Computed properties:
* E_form (uncorrected): -250 meV per atom
* VASP energy: -0.291 Ha/atom
* D(E_F): 1.3 states/eV per cell

[5]
First-principles (PBE) data for SrLa3Nd4Se8 after structural relaxation, as listed in Alexandria.

```
16
Lattice="-6.629 2.106 4.998 -5.059 0.450 -6.900 4.458 -7.141 1.584" Properties=species:S:1:pos:R:3 pbc="T T T"
Nd 0.000 0.000 0.000
Se -1.755 -5.432 3.628
La -5.844 1.278 -0.951
Se -5.475 0.848 -3.946
Se -6.556 -1.669 -0.653
Se -3.987 -1.858 2.835
Nd 2.229 -3.570 0.792
Se -8.786 1.900 -1.450
Se -3.243 -2.727 -3.153
Sr -2.529 0.225 -3.450
Se -0.674 -2.915 0.335
La -3.615 -2.292 -0.159
Nd -3.315 1.053 2.499
Nd -1.085 -2.517 3.291
La -0.300 -3.345 -2.658
Se 1.556 -6.484 1.132
```

Computed properties:
* E_form (uncorrected): -1916 meV per atom
* VASP energy: -0.216 Ha/atom
* D(E_F): 8.9 states/eV per cell

[6]
First-principles (PBE) data for PRh2 after structural relaxation, as listed in Alexandria.

```
3
Lattice="-1.311 2.177 -2.994 -3.530 -0.727 -1.559 -2.951 2.530 0.557" Properties=species:S:1:pos:R:3 pbc="T T T"
P 0.000 0.000 0.000
Rh -1.948 0.995 -0.999
Rh -5.844 2.985 -2.997
```

Computed properties:
* calculated formation energy: -0.752 eV/atom
* VASP energy: -0.274 Ha/atom
* D(E_F): 1.1 states/eV per cell